Version 1
Material: BaCaCl
Method: DFT, PBE
State: relaxed

Cell: 4.121 4.121 7.736 Å, 90.00 90.00 120.00°
Positions (direct):
Ba (0.000, 0.000, 0.000)
Ca (0.667, 0.333, 0.437)
Cl (0.333, 0.667, 0.689)

Total moment = 0.23 μB per atom
Calculated density = 3.1 g/cm³

---

Version 2
Material: BaCaCl
Method: DFT, PBE
State: relaxed

Cell: 8.543 8.543 6.635 Å, 90.38 90.38 28.06°
Positions (direct):
Ba (0.156, 0.156, 0.253)
Ba (0.844, 0.844, 0.747)
Ca (0.443, 0.443, 0.249)
Ca (0.557, 0.557, 0.751)
Cl (0.186, 0.186, 0.754)
Cl (0.814, 0.814, 0.246)

Total moment = 0.00 μB per atom
Calculated density = 3.1 g/cm³

---

Most stable = version 2

---

Version 1
Material: BaCaCl
Method: DFT, PBE
State: relaxed

Cell: 8.067 8.067 7.673 Å, 112.47 112.47 30.38°
Positions (direct):
Ba (0.000, 0.000, 0.000)
Ba (0.208, 0.208, 0.594)
Ca (0.461, 0.461, 0.462)
Ca (0.753, 0.753, 0.193)
Cl (0.346, 0.346, 0.041)
Cl (0.617, 0.617, 0.820)

Total moment = 0.13 μB per atom
Calculated density = 3.0 g/cm³

---

Version 2
Material: BaCaCl
Method: DFT, PBE
State: relaxed

Cell: 6.884 6.884 6.884 Å, 119.88 92.51 117.26°
Positions (direct):
Ba (0.000, 0.000, 0.000)
Ba (0.500, 0.000, 0.500)
Ca (0.304, 0.554, 0.750)
Ca (0.696, 0.446, 0.250)
Cl (0.000, 0.000, 0.500)
Cl (0.000, 0.500, 0.000)

Total moment = 0.00 μB per atom
Calculated density = 3.0 g/cm³

---

Most stable = version 2